Below is Pu6Pb4O19 after structural relaxation, with properties calculated at the GGA-PBE level.

a = 10.014 Å, b = 10.014 Å, c = 10.014 Å
α = 90.00°, β = 90.00°, γ = 90.00°
Space group I23 (No. 197)
One atom of each set of equivalent atoms:
Pu (0.000, 0.170, 0.500) (multiplicity 12)
Pb (0.142, 0.142, 0.142) (multiplicity 8)
O (0.000, 0.000, 0.000) (multiplicity 2)
O (0.000, 0.000, 0.368) (multiplicity 12)
O (0.020, 0.290, 0.323) (multiplicity 24)

Properties
DFT total energy ... -9.005 eV/atom
E_form (uncorrected) ... -2.280 eV per atom